This record from Alexandria describes a relaxed structure of Tl2SiOs. The functional is PBE.

The calculation puts the formation energy without anion corrections at 1.942 eV per formula unit. Its symmetry is Cm, No. 8. The value obtained for the energy above the most stable polymorph in this dataset is 270 meV per atom. Its uncorrected energy is -19.44 eV for the cell shown.

Unit cell a=5.4293 b=5.4293 c=6.2344 alpha=57.51 beta=57.51 gamma=34.58
Last column: nearest neighbours and their distance in Å.
Element x y z (fractional)
Os 0.5913 0.5913 0.5495  2 Si 2.33
Si 0.1438 0.1438 0.2398  2 Os 2.33
Tl 0.9510 0.9510 0.0409  3 Si 2.89-3.14, 2 Os 3.02, 2 Tl 3.23
Tl 0.8139 0.8139 0.6698  3 Os 2.80-3.00, 1 Si 2.93

This record from Alexandria describes a relaxed structure of TlSiOs. The functional is PBE.

The calculation puts the formation energy without anion corrections at 1.824 eV per formula unit. Its symmetry is Fmm2, No. 42. The value obtained for the energy above the most stable polymorph in this dataset is 226 meV per atom. Its uncorrected energy is -17.19 eV for the cell shown.

Unit cell a=7.7060 b=7.4797 c=2.9582 alpha=83.10 beta=74.50 gamma=22.40
Last column: nearest neighbours and their distance in Å.
Element x y z (fractional)
Os 0.9794 0.9794 0.0206  2 Si 2.34
Si 0.3648 0.3648 0.6352  2 Os 2.34
Tl 0.6558 0.6558 0.3442  6 Tl 2.96-3.26, 2 Os 3.05

This record from Alexandria describes a relaxed structure of TlSi4Os. The functional is PBE.

The calculation puts the formation energy without anion corrections at 5.262 eV per formula unit. Its symmetry is F-43m, No. 216. Its uncorrected energy is -30.03 eV for the cell shown.

Unit cell a=5.1812 b=5.1812 c=5.1812 alpha=60.00 beta=60.00 gamma=60.00
Last column: nearest neighbours and their distance in Å.
Element x y z (fractional)
Tl 0.7500 0.7500 0.7500  12 Si 3.04, 4 Os 3.17
Si 0.8788 0.3737 0.3737  6 Si 2.56-2.62
Si 0.3737 0.3737 0.8788  6 Si 2.56-2.62
Si 0.3737 0.8788 0.3737  6 Si 2.56-2.62
Si 0.3737 0.3737 0.3737  6 Si 2.56-2.62
Os 0.0000 0.0000 0.0000  12 Si 3.04, 4 Tl 3.17

- formation energy without anion corrections of number 1 (Tl2SiOs)?
  1.942 eV per formula unit

- Number 1 is which compound?
  Tl2SiOs